NbCr2NiF after structural relaxation, computed with GGA+U.

The calculation puts the calculated total energy at -26.16 eV for the cell shown. The calculated volume comes out at 17.99 Å³ per atom. As for the space group: P4/mmm, No. 123.

```
NbCr2NiF
1.0
5.009 0.000 0.000
0.000 5.009 0.000
0.000 0.000 3.584
Nb Cr Ni F
1 2 1 1
Cartesian
0.000 0.000 0.000 Nb
0.000 2.504 1.792 Cr
2.504 0.000 1.792 Cr
2.504 2.504 1.792 Ni
2.504 2.504 0.000 F
```